[1]
The following is a PBE-GGA calculation of crystalline NdEr2Pd at its relaxed geometry, from Alexandria.

a = 3.7597 Å, b = 6.5963 Å, c = 9.2021 Å
α = 90.00°, β = 90.00°, γ = 106.63°
Positions (direct):
Er (0.6385, 0.2757, 0.0593)
Er (0.3615, 0.7243, 0.9407)
Er (0.6385, 0.2757, 0.4407)
Er (0.3615, 0.7243, 0.5593)
Pd (0.7613, 0.5240, 0.7500)
Pd (0.2387, 0.4760, 0.2500)
Nd (0.9417, 0.8848, 0.2500)
Nd (0.0583, 0.1152, 0.7500)

DOS(E_F) ... 8.64 states/eV/cell
Total moment ... 0.0000 μB/atom
Total DFT energy (no corrections) ... -0.19195 hartree per atom
Offset from the most stable computed form ... 12 meV per atom
ΔH_f (0 K) ... -452 meV/atom

[2]
The following is a PBE-GGA calculation of crystalline SrGaSi2Pd at its relaxed geometry, from Alexandria.

a = 4.2934 Å, b = 4.2934 Å, c = 5.9997 Å
α = 110.97°, β = 110.97°, γ = 90.00°
Positions (direct):
Si (0.6170, 0.6170, 0.2341)
Si (0.3830, 0.3830, 0.7659)
Sr (0.0000, 0.0000, 0.0000)
Pd (0.7500, 0.2500, 0.5000)
Ga (0.2500, 0.7500, 0.5000)

DOS(E_F) ... 1.30 states/eV/cell
Total moment ... 0.0000 μB/atom
Formation energy without anion corrections ... -546 meV per atom
Total DFT energy (no corrections) ... -0.17257 hartree per atom

[3]
The following is a PBE-GGA calculation of crystalline Sr4Ge2Br at its relaxed geometry, from Alexandria.

a = 9.4694 Å, b = 9.5014 Å, c = 9.4494 Å
α = 120.22°, β = 119.80°, γ = 89.80°
Each line ends with the local moment (μB).
Positions (direct):
Ge (0.1250, 0.3750, 0.7500)  0.16
Ge (0.6250, 0.3750, 0.7500)  0.18
Ge (0.6250, 0.8750, 0.2500)  0.17
Ge (0.6250, 0.3750, 0.2500)  0.17
Sr (0.3900, 0.6081, 0.7821)  0.03
Sr (0.8580, 0.1403, 0.2821)  0.03
Sr (0.8600, 0.1419, 0.7179)  0.03
Sr (0.3914, 0.1740, 0.7820)  0.03
Sr (0.4236, 0.1413, 0.2813)  0.03
Sr (0.8585, 0.5760, 0.7180)  0.03
Sr (0.8264, 0.6087, 0.2187)  0.03
Sr (0.3920, 0.6097, 0.2179)  0.03
Br (0.0006, 0.9993, 0.9989)  0.00
Br (0.2494, 0.7507, 0.5011)  0.00

DOS(E_F) ... 14.06 states/eV/cell
Total moment ... 0.1376 μB/atom
Formation energy without anion corrections ... -743 meV per atom
Total DFT energy (no corrections) ... -0.11990 hartree per atom

[4]
The following is a PBE-GGA calculation of crystalline CdP2Ru at its relaxed geometry, from Alexandria.

a = 4.7222 Å, b = 4.7222 Å, c = 4.7222 Å
α = 132.55°, β = 119.39°, γ = 80.38°
Positions (direct):
P (0.9631, 0.9631, 0.0000)
P (0.5369, 0.5369, 0.0000)
Ru (0.7500, 0.2500, 0.5000)
Cd (0.2500, 0.7500, 0.5000)

DOS(E_F) ... 1.62 states/eV/cell
Total moment ... 0.0000 μB/atom
Total DFT energy (no corrections) ... -0.18142 hartree per atom
ΔH_f (0 K) ... 316 meV/atom

[5]
The following is a PBE-GGA calculation of crystalline Ga2Te6Au at its relaxed geometry, from Alexandria.

a = 7.6153 Å, b = 8.8385 Å, c = 8.8385 Å
α = 87.18°, β = 78.95°, γ = 78.95°
Positions (direct):
Te (0.8190, 0.9598, 0.3805)
Te (0.1167, 0.7984, 0.9969)
Te (0.8833, 0.2016, 0.0031)
Te (0.1810, 0.0402, 0.6195)
Te (0.3190, 0.3805, 0.9598)
Te (0.3833, 0.0031, 0.2016)
Te (0.4076, 0.6682, 0.5131)
Te (0.9076, 0.5131, 0.6682)
Te (0.0924, 0.4869, 0.3318)
Te (0.5924, 0.3318, 0.4869)
Te (0.6167, 0.9969, 0.7984)
Te (0.6810, 0.6195, 0.0402)
Ga (0.3133, 0.2271, 0.4045)
Ga (0.8133, 0.4045, 0.2271)
Ga (0.1867, 0.5955, 0.7729)
Ga (0.6867, 0.7729, 0.5955)
Au (0.2500, 0.0803, 0.9197)
Au (0.7500, 0.9197, 0.0803)

DOS(E_F) ... 5.42 states/eV/cell
Total moment ... 0.0000 μB/atom
Formation energy without anion corrections ... -94 meV per atom
Total DFT energy (no corrections) ... -0.11854 hartree per atom

[6]
The following is a PBE-GGA calculation of crystalline DySc2Hg at its relaxed geometry, from Alexandria.

a = 3.4126 Å, b = 3.4126 Å, c = 8.5711 Å
α = 90.00°, β = 90.00°, γ = 90.00°
Positions (direct):
Sc (0.0000, 0.0000, 0.7800)
Sc (0.0000, 0.0000, 0.2200)
Dy (0.5000, 0.5000, 0.5000)
Hg (0.5000, 0.5000, 0.0000)

DOS(E_F) ... 4.71 states/eV/cell
Total moment ... 0.0000 μB/atom
Total DFT energy (no corrections) ... -0.16835 hartree per atom
Offset from the most stable computed form ... 0 meV per atom
ΔH_f (0 K) ... -189 meV/atom